# 1
Here is an optimized crystal structure of SrBeP2Cl from Alexandria. Energies are from PBE.

abc: 5.901 5.901 6.333
angles: 90.00 90.00 90.00
Sites, in units of the cell vectors:
Sr (0.000, 0.000, 0.000)
Be (0.000, 0.000, 0.500)
P (0.000, 0.500, 0.000)
P (0.500, 0.000, 0.000)
Cl (0.500, 0.500, 0.500)

Calculated values
Formation energy (no corrections) ... 1.395 eV/atom
E above lowest polymorph ... 1964.4 meV per atom
Electronic total energy ... -2.220 eV per atom
Space group ... P4/mmm

# 2
Here is an optimized crystal structure of SrBeP2Cl from Alexandria. Energies are from PBE.

abc: 5.854 5.854 5.446
angles: 90.00 90.00 90.00
Sites, in units of the cell vectors:
Sr (0.000, 0.000, 0.000)
Be (0.500, 0.500, 0.500)
P (0.000, 0.500, 0.000)
P (0.500, 0.000, 0.000)
Cl (0.000, 0.000, 0.500)

Calculated values
Formation energy (no corrections) ... 1.006 eV/atom
E above lowest polymorph ... 1576.0 meV per atom
Electronic total energy ... -2.608 eV per atom
Space group ... P4/mmm

# 3
Here is an optimized crystal structure of TaBePCl2 from Alexandria. Energies are from PBE.

abc: 4.788 4.788 4.972
angles: 90.00 90.00 90.00
Sites, in units of the cell vectors:
Ta (0.000, 0.000, 0.000)
Be (0.500, 0.500, 0.500)
P (0.000, 0.000, 0.500)
Cl (0.000, 0.500, 0.000)
Cl (0.500, 0.000, 0.000)

Calculated values
Formation energy (no corrections) ... 0.298 eV/atom
E above lowest polymorph ... 26.9 meV per atom
Electronic total energy ... -4.638 eV per atom
Space group ... P4/mmm

# 4
Here is an optimized crystal structure of TaBePCl2 from Alexandria. Energies are from PBE.

abc: 3.917 3.917 7.916
angles: 90.00 90.00 90.00
Sites, in units of the cell vectors:
Ta (0.000, 0.000, 0.000)
Be (0.500, 0.500, 0.500)
P (0.500, 0.500, 0.000)
Cl (0.000, 0.500, 0.500)
Cl (0.500, 0.000, 0.500)

Calculated values
Formation energy (no corrections) ... 0.271 eV/atom
E above lowest polymorph ... 0.0 meV per atom
Electronic total energy ... -4.665 eV per atom
Space group ... P4/mmm

# 5
Here is an optimized crystal structure of BeTcPCl2 from Alexandria. Energies are from PBE.

abc: 3.998 3.998 6.696
angles: 90.00 90.00 90.00
Sites, in units of the cell vectors:
Be (0.000, 0.000, 0.000)
Tc (0.500, 0.500, 0.500)
P (0.000, 0.000, 0.500)
Cl (0.000, 0.500, 0.000)
Cl (0.500, 0.000, 0.000)

Calculated values
Formation energy (no corrections) ... 0.440 eV/atom
E above lowest polymorph ... 0.0 meV per atom
Electronic total energy ... -4.199 eV per atom
Space group ... P4/mmm

# 6
Here is an optimized crystal structure of BeTcPCl2 from Alexandria. Energies are from PBE.

abc: 4.881 4.881 4.609
angles: 90.00 90.00 90.00
Sites, in units of the cell vectors:
Be (0.000, 0.000, 0.000)
Tc (0.500, 0.500, 0.500)
P (0.500, 0.500, 0.000)
Cl (0.000, 0.500, 0.500)
Cl (0.500, 0.000, 0.500)

Calculated values
Formation energy (no corrections) ... 0.623 eV/atom
E above lowest polymorph ... 183.3 meV per atom
Electronic total energy ... -4.016 eV per atom
Space group ... P4/mmm